# 1
Below is an optimized crystal structure of CeDyNi, with properties calculated at the PBE level.

density of states at the Fermi level = 5.5 states/eV/cell
symmetry = P3m1 (156)
DFT formation energy = -0.09 eV per atom
energy relative to the lowest polymorph listed for this composition = 67.8 meV/atom

Lattice parameters (Å, degrees): 3.7369 3.7369 6.3441 90.00 90.00 120.00
Last column: nearest neighbours and their distance in Å.
Fractional positions:
Ce (0.0000, 0.0000, 0.0000)  3 Ni 2.70
Dy (0.6667, 0.3333, 0.4741)  3 Ni 2.76
Ni (0.3333, 0.6667, 0.7453)  3 Ce 2.70, 3 Dy 2.76

***

# 2
Below is an optimized crystal structure of Ce2Dy2Ni15, with properties calculated at the PBE level.

density of states at the Fermi level = 25.3 states/eV/cell
symmetry = R-3m (166)
DFT formation energy = -0.27 eV per atom

Lattice parameters (Å, degrees): 6.4723 6.4723 6.4723 82.01 82.01 82.01
Last column: nearest neighbours and their distance in Å.
Fractional positions:
Ce (0.1083, 0.1083, 0.1083)  6 Ni 2.56-2.65, 1 Ce 2.75
Ce (0.8917, 0.8917, 0.8917)  6 Ni 2.56-2.65, 1 Ce 2.75
Dy (0.3625, 0.3625, 0.3625)  12 Ni 2.90-3.01, 1 Ce 3.22
Dy (0.6375, 0.6375, 0.6375)  12 Ni 2.90-3.01, 1 Ce 3.22
Ni (0.0000, 0.0000, 0.5000)  8 Ni 2.49-2.51, 2 Ce 2.56
Ni (0.0000, 0.3191, 0.6809)  8 Ni 2.51-2.71
Ni (0.0000, 0.5000, 0.0000)  8 Ni 2.49-2.51, 2 Ce 2.56
Ni (0.0000, 0.6809, 0.3191)  8 Ni 2.51-2.71
Ni (0.1686, 0.6546, 0.6546)  8 Ni 2.39-2.59, 1 Ce 2.65
Ni (0.3191, 0.0000, 0.6809)  8 Ni 2.51-2.71
Ni (0.3191, 0.6809, 0.0000)  8 Ni 2.51-2.71
Ni (0.3454, 0.3454, 0.8314)  8 Ni 2.39-2.59, 1 Ce 2.65
Ni (0.3454, 0.8314, 0.3454)  8 Ni 2.39-2.59, 1 Ce 2.65
Ni (0.5000, 0.0000, 0.0000)  8 Ni 2.49-2.51, 2 Ce 2.56
Ni (0.6546, 0.1686, 0.6546)  8 Ni 2.39-2.59, 1 Ce 2.65
Ni (0.6546, 0.6546, 0.1686)  8 Ni 2.39-2.59, 1 Ce 2.65
Ni (0.6809, 0.0000, 0.3191)  8 Ni 2.51-2.71
Ni (0.6809, 0.3191, 0.0000)  8 Ni 2.51-2.71
Ni (0.8314, 0.3454, 0.3454)  8 Ni 2.39-2.59, 1 Ce 2.65